Material: LaS2I
Method: DFT, SCAN
State: single point on PBEsol structure

a = 6.5316 Å, b = 6.5316 Å, c = 6.5316 Å
α = 106.40°, β = 106.40°, γ = 115.80°
Last column: nearest neighbours and their distance in Å.
Element x y z (fractional)
La 0.0000 0.0000 0.0000  4 S 2.78
La 0.7500 0.2500 0.5000  4 S 2.78
S 0.1027 0.1250 0.4777  2 La 2.78, 2 I 3.02
S 0.3750 0.8973 0.0223  2 La 2.78, 2 I 3.02
S 0.6473 0.6250 0.5223  2 La 2.78, 2 I 3.02
S 0.8750 0.3527 0.9777  2 La 2.78, 2 I 3.02
I 0.2500 0.7500 0.5000  4 S 3.02
I 0.5000 0.5000 0.0000  4 S 3.02

Summary:
DOS at the Fermi energy (states/eV/cell): 7.7
Uncorrected formation energy (eV per atom): -0.890
Size of the total moment (μB/f.u.): 0.0

Material: LaSbSI2
Method: DFT, SCAN
State: single point on PBEsol structure

a = 5.4046 Å, b = 5.4046 Å, c = 5.2288 Å
α = 90.00°, β = 90.00°, γ = 90.00°
Last column: nearest neighbours and their distance in Å.
Element x y z (fractional)
La 0.0000 0.0000 0.0000  8 I 3.76, 4 Sb 3.82
Sb 0.5000 0.5000 0.0000  2 S 2.61
S 0.5000 0.5000 0.5000  2 Sb 2.61, 4 I 2.70
I 0.0000 0.5000 0.5000  2 S 2.70
I 0.5000 0.0000 0.5000  2 S 2.70

Summary:
DOS at the Fermi energy (states/eV/cell): 2.5
Uncorrected formation energy (eV per atom): -0.228
Size of the total moment (μB/f.u.): 0.0

Material: La3Si2S8I
Method: DFT, SCAN
State: single point on PBEsol structure

a = 8.8519 Å, b = 8.8519 Å, c = 10.8320 Å
α = 97.07°, β = 97.07°, γ = 52.72°
Last column: nearest neighbours and their distance in Å.
Element x y z (fractional)
La 0.0939 0.9061 0.7500  4 S 2.89-2.94
La 0.1817 0.4227 0.3198  8 S 2.92-3.07
La 0.4227 0.1817 0.8198  8 S 2.92-3.07
La 0.5773 0.8183 0.1802  8 S 2.92-3.07
La 0.8183 0.5773 0.6802  8 S 2.92-3.07
La 0.9061 0.0939 0.2500  4 S 2.89-2.94
Si 0.1229 0.1970 0.0304  4 S 2.11-2.13
Si 0.1970 0.1229 0.5304  4 S 2.11-2.13
Si 0.8030 0.8771 0.4696  4 S 2.11-2.13
Si 0.8771 0.8030 0.9696  4 S 2.11-2.13
S 0.0472 0.2528 0.8395  1 Si 2.12
S 0.0858 0.7802 0.4560  1 Si 2.12
S 0.0996 0.6095 0.8510  1 Si 2.11
S 0.2125 0.3531 0.5861  1 Si 2.13
S 0.2198 0.9142 0.0440  1 Si 2.12
S 0.2528 0.0472 0.3395  1 Si 2.12
S 0.3531 0.2125 0.0861  1 Si 2.13
S 0.3905 0.9004 0.6490  1 Si 2.11
S 0.6095 0.0996 0.3510  1 Si 2.11
S 0.6469 0.7875 0.9139  1 Si 2.13
S 0.7472 0.9528 0.6605  1 Si 2.12
S 0.7802 0.0858 0.9560  1 Si 2.12
S 0.7875 0.6469 0.4139  1 Si 2.13
S 0.9004 0.3905 0.1490  1 Si 2.11
S 0.9142 0.2198 0.5440  1 Si 2.12
S 0.9528 0.7472 0.1605  1 Si 2.12
I 0.4859 0.5141 0.2500  3 La 3.30-3.43, 4 S 3.42-3.69
I 0.5141 0.4859 0.7500  3 La 3.30-3.43, 4 S 3.42-3.69

Summary:
DOS at the Fermi energy (states/eV/cell): 0.0
Uncorrected formation energy (eV per atom): -1.774
Size of the total moment (μB/f.u.): 0.0

Material: La2SbI2
Method: DFT, SCAN
State: single point on PBEsol structure

a = 4.4919 Å, b = 4.4919 Å, c = 11.0022 Å
α = 90.00°, β = 90.00°, γ = 120.00°
Last column: nearest neighbours and their distance in Å.
Element x y z (fractional)
La 0.3333 0.6667 0.3372  3 Sb 3.15, 3 I 3.27
La 0.6667 0.3333 0.6628  3 Sb 3.15, 3 I 3.27
Sb 0.0000 0.0000 0.5000  6 La 3.15
I 0.3333 0.6667 0.8433  3 La 3.27
I 0.6667 0.3333 0.1567  3 La 3.27

Summary:
DOS at the Fermi energy (states/eV/cell): 1.7
Uncorrected formation energy (eV per atom): -1.579
Size of the total moment (μB/f.u.): 0.0

> Look up the uncorrected formation energy of the first one.

-0.890 eV per atom

> What is the size of the total moment in the third record?

0.0 μB/f.u.

> Which formula does entry 4 have?

La2SbI2